1.
This record from Alexandria describes crystalline Ca8In2Hg at its relaxed geometry. The functional is PBE.

Computed properties:
calculated formation energy = -0.26 eV/atom
D(E_F) = 8.43 states/eV/cell
E above lowest polymorph = 65.1 meV per atom

abc: 5.400 8.944 9.149
angles: 119.26 107.16 90.00
Sites, in units of the cell vectors:
Ca 0.000 0.681 0.000
Ca 0.656 0.872 0.313
Ca 0.137 0.137 0.274
Ca 0.000 0.319 0.000
In 0.196 0.696 0.392
Ca 0.344 0.128 0.687
Ca 0.863 0.863 0.726
In 0.804 0.304 0.608
Hg 0.500 0.000 0.000
Ca 0.656 0.441 0.313
Ca 0.344 0.559 0.687

=====

2.
This record from Alexandria describes crystalline Sm2TmTl at its relaxed geometry. The functional is PBE.

Computed properties:
calculated formation energy = -0.10 eV/atom
D(E_F) = 6.31 states/eV/cell
E above lowest polymorph = 67.6 meV per atom

abc: 3.910 5.547 5.547
angles: 90.00 90.00 90.00
Sites, in units of the cell vectors:
Tl 0.500 0.000 0.000
Tm 0.500 0.500 0.500
Sm 0.000 0.500 0.000
Sm 0.000 0.000 0.500

=====

3.
This record from Alexandria describes crystalline K2GaP2 at its relaxed geometry. The functional is PBE.

Computed properties:
calculated formation energy = -0.47 eV/atom
E above lowest polymorph = 0.0 meV per atom

abc: 14.092 8.737 11.059
angles: 61.41 90.00 90.00
Sites, in units of the cell vectors:
Ga 0.558 0.008 0.757
P 0.945 0.791 0.757
K 0.886 0.212 0.474
K 0.629 0.013 0.462
P 0.181 0.367 0.717
P 0.036 0.265 0.722
K 0.371 0.987 0.538
K 0.129 0.987 0.038
K 0.883 0.489 0.068
P 0.714 0.110 0.725
P 0.786 0.110 0.225
P 0.286 0.890 0.275
Ga 0.283 0.146 0.746
K 0.871 0.013 0.962
P 0.055 0.209 0.243
P 0.319 0.367 0.217
K 0.869 0.578 0.599
P 0.214 0.890 0.775
P 0.555 0.791 0.257
Ga 0.442 0.992 0.243
P 0.445 0.209 0.743
P 0.464 0.265 0.222
K 0.631 0.578 0.099
K 0.131 0.422 0.401
P 0.964 0.735 0.278
K 0.383 0.511 0.432
Ga 0.783 0.854 0.754
K 0.114 0.788 0.526
K 0.614 0.212 0.974
K 0.617 0.489 0.568
Ga 0.217 0.146 0.246
K 0.117 0.511 0.932
Ga 0.942 0.008 0.257
K 0.386 0.788 0.026
Ga 0.717 0.854 0.254
P 0.536 0.735 0.778
P 0.681 0.633 0.783
Ga 0.058 0.992 0.743
P 0.819 0.633 0.283
K 0.369 0.422 0.901

=====

4.
This record from Alexandria describes crystalline GaRuPt3 at its relaxed geometry. The functional is PBE.

Computed properties:
calculated formation energy = 1.13 eV/atom
D(E_F) = 5.61 states/eV/cell
E above lowest polymorph = 157.3 meV per atom

abc: 4.827 4.827 4.827
angles: 90.00 90.00 90.00
Sites, in units of the cell vectors:
Pt 0.000 0.000 0.500
Ga 0.500 0.500 0.500
Pt 0.500 0.000 0.000
Pt 0.000 0.500 0.000
Ru 0.000 0.000 0.000

=====

5.
This record from Alexandria describes crystalline As2OsBrN at its relaxed geometry. The functional is PBE.

Computed properties:
D(E_F) = 2.43 states/eV/cell
E above lowest polymorph = 0.0 meV per atom
uncorrected formation energy = 1.450 eV/atom

abc: 4.703 4.703 5.569
angles: 90.00 90.00 90.00
Each line ends with the local moment (μB).
Sites, in units of the cell vectors:
Br 0.000 0.000 0.500  0.10
As 0.000 0.500 0.000  0.01
N 0.500 0.500 0.500  1.81
As 0.500 0.000 0.000  0.01
Os 0.000 0.000 0.000  0.01

=====

6.
This record from Alexandria describes crystalline TmPuMnCo at its relaxed geometry. The functional is PBE.

Computed properties:
calculated formation energy = 0.01 eV/atom
D(E_F) = 5.98 states/eV/cell

abc: 4.708 4.708 4.708
angles: 60.00 60.00 60.00
Each line ends with the local moment (μB).
Sites, in units of the cell vectors:
Tm 0.750 0.750 0.750  0.33
Mn 0.000 0.000 0.000  -2.67
Co 0.500 0.500 0.500  -1.01
Pu 0.250 0.250 0.250  5.25

=====

7.
This record from Alexandria describes crystalline Ba2Li3Cd12Rh at its relaxed geometry. The functional is PBE.

Computed properties:
calculated formation energy = -0.10 eV/atom
D(E_F) = 9.21 states/eV/cell

abc: 11.259 11.259 11.259
angles: 37.57 37.57 37.57
Sites, in units of the cell vectors:
Cd 0.817 0.410 0.410
Cd 0.076 0.076 0.648
Li 0.500 0.000 0.000
Cd 0.076 0.648 0.076
Rh 0.000 0.000 0.000
Cd 0.924 0.924 0.352
Cd 0.924 0.352 0.924
Cd 0.352 0.924 0.924
Cd 0.590 0.590 0.183
Cd 0.590 0.183 0.590
Ba 0.352 0.352 0.352
Li 0.000 0.000 0.500
Cd 0.648 0.076 0.076
Cd 0.410 0.817 0.410
Cd 0.183 0.590 0.590
Cd 0.410 0.410 0.817
Li 0.000 0.500 0.000
Ba 0.648 0.648 0.648

=====

8.
This record from Alexandria describes crystalline NaZnInO3 at its relaxed geometry. The functional is PBE.

Computed properties:
uncorrected formation energy = -1.409 eV/atom

abc: 3.205 8.074 8.153
angles: 93.13 90.00 90.00
Sites, in units of the cell vectors:
O 0.250 0.216 0.810
In 0.250 0.622 0.129
Na 0.250 0.246 0.264
Zn 0.750 0.888 0.411
Na 0.750 0.754 0.736
O 0.250 0.573 0.863
In 0.750 0.378 0.871
O 0.750 0.145 0.444
O 0.750 0.427 0.137
Zn 0.250 0.112 0.589
O 0.250 0.855 0.556
O 0.750 0.784 0.190